La2ZrP3Rh4 | GGA-PBE | optimized geometry

Lattice parameters (Å, degrees): 4.077 4.077 10.912 90.00 90.00 90.00
Positions (direct):
La1 0.000 0.500 0.229
La2 0.500 0.000 0.771
Zr1 0.000 0.000 0.500
P1 0.000 0.500 0.871
P2 0.500 0.000 0.129
P3 0.500 0.500 0.500
Rh1 0.000 0.000 0.000
Rh2 0.000 0.500 0.650
Rh3 0.500 0.000 0.350
Rh4 0.500 0.500 0.000

Total DFT energy (no corrections) = -7.482 eV per atom
Space group = P-4m2 (115)
Total moment = 0.0 μB per cell
Formation enthalpy at 0 K = -1.078 eV per atom